An optimized crystal structure of Y2Ag3GeSe6, computed with PBE-GGA.

Unit cell a=17.664 b=4.080 c=7.961 alpha=90.00 beta=100.65 gamma=90.00
Space group C2/m (No. 12)
Unique sites:
Y 0.165 0.000 0.326
Ag 0.000 0.500 0.500
Ag 0.176 0.000 0.831
Ge 0.000 0.500 0.000
Se 0.001 0.000 0.758
Se 0.160 0.500 0.073
Se 0.168 0.500 0.581

Results
The uncorrected formation energy is -9.7 eV/f.u. The magnetic moment comes out at 0.0 μB per cell.

---

An optimized crystal structure of YAg2GeSe4, computed with PBE-GGA.

Unit cell a=8.713 b=7.633 c=6.948 alpha=90.00 beta=90.00 gamma=90.00
Space group Pmn2_1 (No. 31)
Unique sites:
Y 0.000 0.170 0.000
Ag 0.241 0.300 0.545
Ge 0.000 0.816 0.520
Se 0.000 0.134 0.397
Se 0.000 0.826 0.884
Se 0.235 0.643 0.418

Results
The uncorrected formation energy is -4.6 eV/f.u. The magnetic moment comes out at 0.0 μB per cell.

---

An optimized crystal structure of ZnAgGe2Se6, computed with PBE-GGA.

Unit cell a=13.293 b=12.431 c=6.839 alpha=90.00 beta=111.18 gamma=90.00
Space group C2/c (No. 15)
Unique sites:
Zn 0.000 0.219 0.250
Ag 0.000 0.122 0.750
Ge 0.196 0.419 0.731
Se 0.109 0.068 0.141
Se 0.123 0.430 0.005
Se 0.136 0.241 0.599

Results
The uncorrected formation energy is -2.0 eV/f.u. The magnetic moment comes out at 0.0 μB per cell.

---

An optimized crystal structure of SiAgGe3, computed with PBE-GGA.

Unit cell a=4.787 b=4.787 c=4.787 alpha=90.00 beta=90.00 gamma=90.00
Space group Pm-3m (No. 221)
Unique sites:
Si 0.000 0.000 0.000
Ag 0.500 0.500 0.500
Ge 0.000 0.000 0.500

Results
The calculation puts the energy above the most stable polymorph in this dataset at 0.0 meV/atom. The uncorrected formation energy is 3.3 eV/f.u. The magnetic moment comes out at 0.0 μB per cell.